HfVNO2: optimized geometry, GGA+U.

Unit cell a=4.0477 b=4.0477 c=4.2415 alpha=90.00 beta=90.00 gamma=90.00
Sites, in units of the cell vectors:
Hf 0.0000 0.0000 0.0000
V 0.5000 0.5000 0.5000
N 0.0000 0.0000 0.5000
O 0.0000 0.5000 0.0000
O 0.5000 0.0000 0.0000

Properties
Calculated total energy (eV/atom): -8.347
Space group: No. 123
Magnetization (μB per formula unit): 2.31
Calculated volume (Å³ per atom): 13.9